#a
! PBE+U LiZn2AgWO6, optimized geometry; values from VASP
! DOS(E_F)	0.00	states/eV per atom
! total moment	0.00	μB per cell
! symmetry	No. 1
! crystal system	triclinic
&SYSTEM
  ibrav = 0, nat = 11, ntyp = 5
/
ATOMIC_SPECIES
Li 6.94 Li.upf
Zn 65.41 Zn.upf
Ag 107.87 Ag.upf
W 183.84 W.upf
O 16.00 O.upf
CELL_PARAMETERS angstrom
5.648 -0.560 0.615
-1.632 5.646 -0.664
-0.736 -3.302 5.290
ATOMIC_POSITIONS crystal
Li 0.418 0.048 0.207
Zn 0.916 0.152 0.449
Zn 0.387 0.744 0.529
Ag 0.609 0.455 0.049
W 0.883 0.849 0.780
O 0.047 0.983 0.112
O 0.076 0.083 0.677
O 0.660 0.055 0.916
O 0.579 0.495 0.538
O 0.066 0.584 0.605
O 0.545 0.859 0.313

=====

#b
! PBE+U LiZn2AgWO6, optimized geometry; values from VASP
! DOS(E_F)	0.00	states/eV per atom
! total moment	0.00	μB per cell
! symmetry	No. 1
! crystal system	triclinic
&SYSTEM
  ibrav = 0, nat = 11, ntyp = 5
/
ATOMIC_SPECIES
Li 6.94 Li.upf
Zn 65.41 Zn.upf
Ag 107.87 Ag.upf
W 183.84 W.upf
O 16.00 O.upf
CELL_PARAMETERS angstrom
-4.070 0.177 -3.634
-4.905 -2.119 1.418
-3.931 3.760 1.903
ATOMIC_POSITIONS crystal
Li 0.263 0.411 0.867
Zn 0.243 0.225 0.386
Zn 0.659 0.774 0.728
Ag 0.617 0.508 0.376
W 0.956 0.004 0.033
O 0.674 0.377 0.827
O 0.218 0.635 0.230
O 0.272 0.093 0.757
O 0.936 0.807 0.840
O 0.030 0.211 0.185
O 0.653 0.949 0.319

=====

Out of the structures above, which one is the least stable? Solution: #a.